No. 1
# NaNd4Tm3Te8

Crystalline NaNd4Tm3Te8 at its relaxed geometry (GGA-PBE, the Alexandria database).

Cell lengths 8.767, 8.913, 8.768 Å; angles 119.45, 120.00, 90.00 degrees
Fractional coordinates of all 16 atoms:
Na  0.000  0.500  0.000
Nd  0.500  0.000  0.000
Nd  0.500  0.000  0.500
Nd  0.000  0.000  0.000
Nd  0.000  0.000  0.500
Tm  0.500  0.500  0.000
Tm  0.500  0.500  0.500
Tm  0.000  0.500  0.500
Te  0.246  0.735  0.989
Te  0.246  0.735  0.492
Te  0.255  0.267  0.511
Te  0.743  0.735  0.989
Te  0.257  0.265  0.011
Te  0.745  0.733  0.489
Te  0.754  0.265  0.508
Te  0.754  0.265  0.011

Its volume is 488.5 Å³/f.u. The size of the total moment is 0.00 μB/f.u. For the calculated density, the calculation gives 7.233 Mg/m³. As for the symmetry: R-3m. For the energy relative to the elements, uncorrected, the calculation gives -127.3 kJ/mol of atoms.



No. 2
# NpTl3Bi3S8

Crystalline NpTl3Bi3S8 at its relaxed geometry (GGA-PBE, the Alexandria database).

Cell lengths 8.204, 8.204, 8.902 Å; angles 117.45, 90.00, 120.00 degrees
Site moments in Bohr magnetons follow the coordinates.
Fractional coordinates of all 15 atoms:
Np  0.000  0.000  0.500  3.21
Tl  0.000  0.000  0.000  0.00
Tl  0.000  0.500  0.000  0.00
Tl  0.500  0.500  0.000  0.00
Bi  0.500  0.000  0.500  0.01
Bi  0.500  0.500  0.500  0.01
Bi  0.000  0.500  0.500  0.01
S  0.263  0.527  0.290  0.00
S  0.737  0.473  0.710  0.00
S  0.775  0.549  0.301  -0.04
S  0.225  0.451  0.699  -0.04
S  0.775  0.026  0.301  -0.04
S  0.225  0.974  0.699  -0.04
S  0.251  0.026  0.301  -0.04
S  0.749  0.974  0.699  -0.04

Its volume is 439.3 Å³/f.u. The size of the total moment is 2.99 μB/f.u. For the calculated density, the calculation gives 6.553 Mg/m³. As for the symmetry: R-3m. For the energy relative to the elements, uncorrected, the calculation gives -57.5 kJ/mol of atoms.



No. 3
# TbTlSb2

Crystalline TbTlSb2 at its relaxed geometry (GGA-PBE, the Alexandria database).

Cell lengths 4.319, 4.319, 8.351 Å; angles 75.01, 75.01, 60.00 degrees
Fractional coordinates of all 4 atoms:
Sb  0.256  0.256  0.232
Sb  0.744  0.744  0.768
Tl  0.500  0.500  0.500
Tb  0.000  0.000  0.000

Its volume is 128.8 Å³/f.u. The size of the total moment is 0.00 μB/f.u. For the calculated density, the calculation gives 7.825 Mg/m³. For the energy above the lowest structure with this stoichiometry, the calculation gives 0.180 eV per atom. As for the symmetry: R-3m. For the energy relative to the elements, uncorrected, the calculation gives -30.2 kJ/mol of atoms.



No. 4
# La2Tb5Pm2

Crystalline La2Tb5Pm2 at its relaxed geometry (GGA-PBE, the Alexandria database).

Cell lengths 12.057, 6.784, 10.232 Å; angles 109.36, 126.10, 90.00 degrees
Fractional coordinates of all 18 atoms:
La  0.000  0.011  0.000
La  0.500  0.511  0.000
La  0.256  0.348  0.500
La  0.744  0.848  0.500
Tb  0.205  0.651  0.892
Tb  0.795  0.758  0.108
Tb  0.188  0.151  0.892
Tb  0.812  0.258  0.108
Tb  0.375  0.039  0.284
Tb  0.625  0.755  0.716
Tb  0.409  0.539  0.284
Tb  0.591  0.255  0.716
Tb  0.011  0.660  0.500
Tb  0.989  0.160  0.500
Pm  0.124  0.683  0.251
Pm  0.876  0.432  0.749
Pm  0.627  0.183  0.251
Pm  0.373  0.932  0.749

Its volume is 308.4 Å³/f.u. Its formation energy is 0.19 eV per atom. The size of the total moment is 0.00 μB/f.u. For the calculated density, the calculation gives 7.336 Mg/m³. For the energy above the lowest structure with this stoichiometry, the calculation gives 0.000 eV per atom. As for the symmetry: Ima2.